# 1
# Rb2AgH6Pt PBE relaxed
data_Rb2AgH6Pt
_cell_length_a 5.396
_cell_length_b 6.007
_cell_length_c 6.007
_cell_angle_alpha 120.00
_cell_angle_beta 90.00
_cell_angle_gamma 90.00
_space_group_name_H-M_alt 'P 1'
_space_group_IT_number 1
_space_group_name_Hall 'P 1'
loop_
_atom_site_label
_atom_site_fract_x
_atom_site_fract_y
_atom_site_fract_z
Rb1 0.238 0.333 0.667
H1 0.815 0.732 0.866
H2 0.815 0.134 0.866
H3 0.185 0.268 0.134
H4 0.185 0.866 0.134
Pt1 0.000 0.000 0.000
H5 0.185 0.866 0.732
Rb2 0.762 0.667 0.333
H6 0.815 0.134 0.268
Ag1 0.500 0.000 0.000
# - space group = P-3m1, No. 164

# 2
# Rb2AgHPt PBE relaxed
data_Rb2AgHPt
_cell_length_a 6.228
_cell_length_b 6.228
_cell_length_c 3.516
_cell_angle_alpha 90.00
_cell_angle_beta 90.00
_cell_angle_gamma 90.00
_space_group_name_H-M_alt 'P 1'
_space_group_IT_number 1
_space_group_name_Hall 'P 1'
loop_
_atom_site_label
_atom_site_fract_x
_atom_site_fract_y
_atom_site_fract_z
Ag1 0.500 0.500 0.500
Rb1 0.000 0.500 0.000
Rb2 0.500 0.000 0.000
Pt1 0.000 0.000 0.500
H1 0.000 0.000 0.000
# - space group = P4/mmm, No. 123

Number 1: electronic total energy -32.64 eV for the cell shown. Number 2: electronic total energy -14.06 eV for the cell shown.